Below is crystalline Na3VCd2O6 at its relaxed geometry, with properties calculated at the GGA+U level.

abc: 5.675 9.809 5.764
angles: 90.00 109.78 90.00
Space group C2/m (No. 12)
Asymmetric unit:
Na  0.000  0.000  0.000 [2 per cell]
Na  0.000  0.335  0.000 [4 per cell]
V  0.000  0.500  0.500 [2 per cell]
Cd  0.000  0.168  0.500 [4 per cell]
O  0.211  0.359  0.712 [8 per cell]
O  0.211  0.500  0.299 [4 per cell]

E_tot   -5.072 eV per atom



Below is crystalline NaV4Cd3O12 at its relaxed geometry, with properties calculated at the GGA+U level.

abc: 5.354 5.404 7.660
angles: 90.37 90.41 90.28
Space group P1 (No. 1)
Asymmetric unit:
Na  0.000  0.000  0.000 [1 per cell]
V  0.483  0.966  0.237 [1 per cell]
V  0.488  0.967  0.746 [1 per cell]
V  0.986  0.464  0.252 [1 per cell]
V  0.995  0.468  0.754 [1 per cell]
Cd  0.489  0.499  0.002 [1 per cell]
Cd  0.501  0.430  0.498 [1 per cell]
Cd  0.980  0.933  0.498 [1 per cell]
O  0.080  0.488  0.495 [1 per cell]
O  0.200  0.740  0.792 [1 per cell]
O  0.213  0.762  0.214 [1 per cell]
O  0.297  0.256  0.206 [1 per cell]
O  0.300  0.247  0.801 [1 per cell]
O  0.398  0.997  0.502 [1 per cell]
O  0.571  0.941  0.012 [1 per cell]
O  0.694  0.682  0.304 [1 per cell]
O  0.695  0.686  0.711 [1 per cell]
O  0.780  0.171  0.299 [1 per cell]
O  0.798  0.186  0.711 [1 per cell]
O  0.910  0.453  0.013 [1 per cell]

E_tot   -6.324 eV per atom



Below is crystalline Na2Cd2WO6 at its relaxed geometry, with properties calculated at the GGA+U level.

abc: 5.890 9.641 5.916
angles: 90.00 110.54 90.00
Space group C2/m (No. 12)
Asymmetric unit:
Na  0.000  0.174  0.000 [4 per cell]
Cd  0.000  0.339  0.500 [4 per cell]
W  0.000  0.000  0.500 [2 per cell]
O  0.205  0.146  0.707 [8 per cell]
O  0.207  0.000  0.300 [4 per cell]

E_tot   -5.342 eV per atom



Below is crystalline NaCdW2O8 at its relaxed geometry, with properties calculated at the GGA+U level.

abc: 7.339 7.339 7.000
angles: 90.00 90.00 90.00
Space group I-4m2 (No. 119)
Asymmetric unit:
Na  0.000  0.000  0.000 [2 per cell]
Cd  0.000  0.500  0.250 [2 per cell]
W  0.000  0.000  0.500 [2 per cell]
W  0.000  0.500  0.750 [2 per cell]
O  0.000  0.202  0.349 [8 per cell]
O  0.000  0.302  0.905 [8 per cell]

E_tot   -6.252 eV per atom



Below is crystalline NaCd2WO6 at its relaxed geometry, with properties calculated at the GGA+U level.

abc: 5.589 5.729 10.215
angles: 90.00 122.73 90.00
Space group P2_1/c (No. 14)
Asymmetric unit:
Na  0.000  0.000  0.000 [2 per cell]
Cd  0.229  0.029  0.722 [4 per cell]
W  0.500  0.000  0.500 [2 per cell]
O  0.177  0.125  0.303 [4 per cell]
O  0.234  0.672  0.028 [4 per cell]
O  0.462  0.240  0.113 [4 per cell]

E_tot   -5.434 eV per atom